First-principles (PBE) data for a geometry-optimized Sr4Si2Hg5 structure, as listed in Alexandria via LeMat-Bulk.

Unit cell a=4.303 b=8.112 c=9.289 alpha=89.38 beta=90.00 gamma=90.00
Sites, in units of the cell vectors:
Sr 0.500 0.754 0.605
Sr 0.500 0.209 0.850
Sr 0.500 0.246 0.395
Sr 0.500 0.791 0.150
Si 0.000 0.059 0.613
Si 0.000 0.941 0.387
Hg 0.000 0.577 0.352
Hg 0.000 0.132 0.125
Hg 0.000 0.500 0.000
Hg 0.000 0.868 0.875
Hg 0.000 0.423 0.648

Output
Its density of states at the Fermi level is 6.735 states/eV/cell. The value obtained for the uncorrected formation energy is -0.41 eV/atom. Its volume is 29.48 A^3/atom.